1.
CuCS2N after structural relaxation. Source: Alexandria, functional PBE.

```
CuCS2N
1.0
4.620 0.000 0.000
0.000 4.620 0.000
0.000 0.000 3.547
S C Cu N
2 1 1 1
direct
0.000 0.500 0.000
0.500 0.000 0.000
0.500 0.500 0.500
0.000 0.000 0.000
0.000 0.000 0.500
```

Results
* space-group type: No. 123
* distance to the lowest polymorph of the same formula: 135.88 kJ per mole of atoms
* mass density: 3.4 g cm⁻³
* raw formation energy: 1101 kJ/mol of formula units

***

2.
CuCSeN2 after structural relaxation. Source: Alexandria, functional PBE.

```
CuCSeN2
1.0
-0.184 -2.046 -2.423
-0.987 -2.269 1.991
-7.198 2.075 -1.205
C Cu Se N
1 1 1 2
direct
0.000 0.000 0.000
0.500 0.500 0.500
0.000 0.000 0.500
0.000 0.500 0.000
0.500 0.000 0.000
```

Results
* space-group type: No. 123
* distance to the lowest polymorph of the same formula: 0.00 kJ per mole of atoms
* mass density: 4.0 g cm⁻³
* raw formation energy: 932 kJ/mol of formula units